# 1
DFT (PBE-GGA) results for SmLuSi2Pd after structural relaxation.

Output
The crystal system is monoclinic.

Cell and atoms, written as POSCAR:
```
SmLuSi2Pd
1.0
-2.464 -0.077 -5.068
-0.695 -3.852 -4.056
-6.207 -0.736 8.105
Sm Si Lu Pd
2 4 2 2
Direct
0.997 0.997 0.178
0.003 0.003 0.822
0.478 0.478 0.608
0.364 0.364 0.936
0.636 0.636 0.064
0.522 0.522 0.392
0.815 0.815 0.394
0.185 0.185 0.606
0.277 0.277 0.150
0.723 0.723 0.850
```

# 2
DFT (PBE-GGA) results for InCoHgPd after structural relaxation.

Output
The crystal system is cubic.

Cell and atoms, written as POSCAR:
```
InCoHgPd
1.0
0.000 3.235 3.235
3.235 0.000 3.235
3.235 3.235 0.000
In Co Hg Pd
1 1 1 1
Direct
0.000 0.000 0.000
0.750 0.750 0.750
0.500 0.500 0.500
0.250 0.250 0.250
```

What are the volume values for these records? In order: 201 68 Å³/cell.
What are the uncorrected energy values for these records? In order: -5.935 -3.795 eV/atom.